Entry 1:
! ReOs3 | the Alexandria database | PBE-GGA | optimized geometry; values from VASP
! ΔE_f = 0.083 eV per atom
&SYSTEM
  ibrav = 0, nat = 4, ntyp = 2
/
ATOMIC_SPECIES
Os 190.23 Os.upf
Re 186.21 Re.upf
CELL_PARAMETERS angstrom
3.870 0.000 0.000
0.000 3.870 0.000
-1.935 -1.935 3.870
ATOMIC_POSITIONS angstrom
Os 1.935 1.935 0.000
Os 0.000 1.935 1.935
Re 0.000 0.000 0.000
Os 1.935 0.000 1.935

Entry 2:
! HoBiPd3 | the Alexandria database | PBE-GGA | optimized geometry; values from VASP
! ΔE_f = -0.632 eV per atom
&SYSTEM
  ibrav = 0, nat = 10, ntyp = 3
/
ATOMIC_SPECIES
Pd 106.42 Pd.upf
Bi 208.98 Bi.upf
Ho 164.93 Ho.upf
CELL_PARAMETERS angstrom
-2.397 2.885 1.795
-3.889 -4.077 1.360
4.026 -1.333 7.519
ATOMIC_POSITIONS angstrom
Pd -0.817 -0.902 7.585
Pd 0.416 0.326 2.440
Bi -0.982 0.553 5.025
Pd -2.676 -2.851 8.235
Pd 1.766 -1.403 7.022
Bi -1.278 -3.078 5.649
Ho 0.267 -3.589 8.535
Ho -2.528 1.064 2.139
Pd -1.443 -1.622 3.090
Pd -4.026 -1.122 3.652

Entry 3:
! KAgTe2S4 | the Alexandria database | PBE-GGA | optimized geometry; values from VASP
! raw formation energy = -0.1860 eV/atom
&SYSTEM
  ibrav = 0, nat = 8, ntyp = 4
/
ATOMIC_SPECIES
K 39.10 K.upf
Ag 107.87 Ag.upf
S 32.06 S.upf
Te 127.60 Te.upf
CELL_PARAMETERS angstrom
6.870 0.000 0.000
3.435 5.770 -1.300
3.435 -0.653 5.879
ATOMIC_POSITIONS angstrom
K 0.000 0.000 0.000
Ag 3.435 2.559 2.289
S 4.927 0.458 2.394
S 8.813 2.688 4.389
Te 6.870 4.162 0.498
S 1.943 2.430 0.190
S 11.797 4.659 2.185
Te 6.870 0.956 4.081

Entry 4:
! LaAsO2 | the Alexandria database | PBE-GGA | optimized geometry; values from VASP
! raw formation energy = -1.5556 eV/atom
&SYSTEM
  ibrav = 0, nat = 8, ntyp = 3
/
ATOMIC_SPECIES
La 138.91 La.upf
O 16.00 O.upf
As 74.92 As.upf
CELL_PARAMETERS angstrom
-3.312 1.243 3.011
-3.059 -2.662 -2.267
-1.556 -5.954 4.331
ATOMIC_POSITIONS angstrom
La -4.027 -2.710 3.857
O -2.756 -2.981 0.080
O -6.704 -5.673 3.927
As -3.900 -4.662 1.218
La 0.000 0.000 0.000
As -3.186 -0.709 0.372
O -2.800 -1.060 2.644
O -3.594 -5.030 3.499

Entry 5:
! KMoBr3 | the Alexandria database | PBE-GGA | optimized geometry; values from VASP
! raw formation energy = -0.8409 eV/atom
&SYSTEM
  ibrav = 0, nat = 10, ntyp = 3
/
ATOMIC_SPECIES
Br 79.90 Br.upf
Mo 95.94 Mo.upf
K 39.10 K.upf
CELL_PARAMETERS angstrom
-0.653 0.321 -3.789
1.894 -8.821 0.897
-8.970 -1.225 -0.518
ATOMIC_POSITIONS angstrom
Br -3.211 -4.165 -0.274
Mo -6.772 -3.820 -1.593
Br -8.562 -4.731 -3.326
Br -2.309 -6.986 -2.631
K 0.600 -6.764 -1.146
K -3.404 -0.906 -1.935
Mo -5.001 -5.077 -2.007
Br -6.586 -1.911 -3.427
Br -5.187 -6.985 -0.172
Br -0.495 -0.685 -0.451

Entry 6:
! SrMn2Se | the Alexandria database | PBE-GGA | optimized geometry; values from VASP
! raw formation energy = 0.2672 eV/atom
&SYSTEM
  ibrav = 0, nat = 4, ntyp = 3
/
ATOMIC_SPECIES
Mn 54.94 Mn.upf
Sr 87.62 Sr.upf
Se 78.96 Se.upf
CELL_PARAMETERS angstrom
-3.201 -1.864 -2.622
0.994 -3.247 1.095
-3.208 -0.168 4.037
ATOMIC_POSITIONS angstrom
Mn -0.436 -0.084 0.593
Sr -3.262 -3.493 2.538
Se -2.154 -1.786 -0.028
Mn -0.671 -1.623 1.974

Entry 7:
! Na2MgTa2 | the Alexandria database | PBE-GGA | optimized geometry; values from VASP
! ΔE_f = 0.836 eV per atom
&SYSTEM
  ibrav = 0, nat = 5, ntyp = 3
/
ATOMIC_SPECIES
Ta 180.95 Ta.upf
Na 22.99 Na.upf
Mg 24.30 Mg.upf
CELL_PARAMETERS angstrom
3.708 0.000 0.000
0.000 3.708 0.000
1.854 1.854 10.158
ATOMIC_POSITIONS angstrom
Ta 3.708 1.854 5.079
Na 1.854 1.854 2.228
Ta 1.854 3.708 5.079
Mg 0.000 0.000 0.000
Na 3.708 3.708 7.930

Entry 8:
! RbFeAg3 | the Alexandria database | PBE-GGA | optimized geometry; values from VASP
! ΔE_f = 1.823 eV per atom
&SYSTEM
  ibrav = 0, nat = 5, ntyp = 3
/
ATOMIC_SPECIES
Ag 107.87 Ag.upf
Fe 55.84 Fe.upf
Rb 85.47 Rb.upf
CELL_PARAMETERS angstrom
5.777 0.000 0.000
0.000 5.777 0.000
0.000 0.000 5.777
ATOMIC_POSITIONS angstrom
Ag 2.889 0.000 0.000
Fe 2.889 2.889 2.889
Ag 0.000 2.889 0.000
Ag 0.000 0.000 2.889
Rb 0.000 0.000 0.000

| no. | V (Å³/cell) |
| --- | --- |
| 1 | 58 |
| 2 | 208 |
| 3 | 227 |
| 4 | 146 |
| 5 | 303 |
| 6 | 83 |
| 7 | 140 |
| 8 | 193 |